Entry 1:
# PBE-GGA K2In5Hg5, relaxed
data_K2In5Hg5
_chemical_formula_sum 'K2 In5 Hg5'
_cell_length_a 5.138
_cell_length_b 6.368
_cell_length_c 11.037
_cell_angle_alpha 90.00
_cell_angle_beta 90.00
_cell_angle_gamma 90.00
_space_group_name_H-M_alt 'P 1'
_space_group_IT_number 1
_space_group_name_Hall 'P 1'
loop_
_atom_site_label
_atom_site_fract_x
_atom_site_fract_y
_atom_site_fract_z
_atom_site_occupancy
Hg1 0.500 0.000 0.000 1
In1 0.500 0.747 0.756 1
Hg2 0.000 0.500 0.665 1
K1 0.000 0.500 0.000 1
K2 0.000 0.000 0.500 1
In2 0.500 0.253 0.244 1
In3 0.500 0.253 0.756 1
Hg3 0.000 0.000 0.820 1
In4 0.500 0.747 0.244 1
In5 0.500 0.500 0.500 1
Hg4 0.000 0.000 0.180 1
Hg5 0.000 0.500 0.335 1
# * crystal system: orthorhombic

***

Entry 2:
# PBE-GGA KIn6Hg8, relaxed
data_KIn6Hg8
_chemical_formula_sum 'K1 In6 Hg8'
_cell_length_a 7.708
_cell_length_b 7.708
_cell_length_c 7.708
_cell_angle_alpha 75.82
_cell_angle_beta 75.82
_cell_angle_gamma 75.82
_space_group_name_H-M_alt 'P 1'
_space_group_IT_number 1
_space_group_name_Hall 'P 1'
loop_
_atom_site_label
_atom_site_fract_x
_atom_site_fract_y
_atom_site_fract_z
_atom_site_occupancy
In1 0.371 0.181 0.584 1
Hg1 0.172 0.885 0.566 1
Hg2 0.566 0.172 0.885 1
Hg3 0.828 0.115 0.434 1
Hg4 0.115 0.434 0.828 1
Hg5 0.434 0.828 0.115 1
Hg6 0.885 0.566 0.172 1
Hg7 0.215 0.215 0.215 1
In2 0.629 0.819 0.416 1
In3 0.181 0.584 0.371 1
In4 0.819 0.416 0.629 1
In5 0.416 0.629 0.819 1
K1 0.000 0.000 0.000 1
In6 0.584 0.371 0.181 1
Hg8 0.785 0.785 0.785 1
# * crystal system: trigonal

***

Entry 3:
# PBE-GGA K2InHg2, relaxed
data_K2InHg2
_chemical_formula_sum 'K4 In2 Hg4'
_cell_length_a 6.855
_cell_length_b 6.938
_cell_length_c 8.815
_cell_angle_alpha 101.21
_cell_angle_beta 90.00
_cell_angle_gamma 119.61
_space_group_name_H-M_alt 'P 1'
_space_group_IT_number 1
_space_group_name_Hall 'P 1'
loop_
_atom_site_label
_atom_site_fract_x
_atom_site_fract_y
_atom_site_fract_z
_atom_site_occupancy
K1 0.778 0.297 0.644 1
K2 0.519 0.297 0.144 1
Hg1 0.279 0.272 0.500 1
Hg2 0.007 0.728 0.000 1
In1 0.119 0.000 0.750 1
Hg3 0.721 0.728 0.500 1
Hg4 0.993 0.272 0.000 1
K3 0.222 0.703 0.356 1
In2 0.881 0.000 0.250 1
K4 0.481 0.703 0.856 1
# * E above lowest polymorph: 0.000 kcal/mol of atoms
# * crystal system: monoclinic

***

Entry 4:
# PBE-GGA K3In7Hg4, relaxed
data_K3In7Hg4
_chemical_formula_sum 'K3 In7 Hg4'
_cell_length_a 5.148
_cell_length_b 9.464
_cell_length_c 9.688
_cell_angle_alpha 68.52
_cell_angle_beta 74.59
_cell_angle_gamma 74.22
_space_group_name_H-M_alt 'P 1'
_space_group_IT_number 1
_space_group_name_Hall 'P 1'
loop_
_atom_site_label
_atom_site_fract_x
_atom_site_fract_y
_atom_site_fract_z
_atom_site_occupancy
In1 0.335 0.812 0.518 1
Hg1 0.339 0.532 0.791 1
K1 0.297 0.201 0.206 1
In2 0.856 0.363 0.924 1
In3 0.497 0.190 0.815 1
In4 0.144 0.637 0.076 1
K2 0.000 0.500 0.500 1
Hg2 0.134 0.085 0.647 1
Hg3 0.661 0.468 0.209 1
In5 0.665 0.188 0.482 1
Hg4 0.866 0.915 0.353 1
In6 0.000 0.000 0.000 1
K3 0.703 0.799 0.794 1
In7 0.503 0.810 0.185 1
# * crystal system: monoclinic

***

Entry 5:
# PBE-GGA K2InHg3, relaxed
data_K2InHg3
_chemical_formula_sum 'K2 In1 Hg3'
_cell_length_a 5.324
_cell_length_b 6.751
_cell_length_c 6.549
_cell_angle_alpha 77.22
_cell_angle_beta 66.02
_cell_angle_gamma 66.78
_space_group_name_H-M_alt 'P 1'
_space_group_IT_number 1
_space_group_name_Hall 'P 1'
loop_
_atom_site_label
_atom_site_fract_x
_atom_site_fract_y
_atom_site_fract_z
_atom_site_occupancy
K1 0.559 0.183 0.698 1
In1 0.171 0.400 0.259 1
K2 0.442 0.807 0.308 1
Hg1 0.830 0.232 0.108 1
Hg2 0.156 0.779 0.909 1
Hg3 0.842 0.599 0.717 1
# * crystal system: monoclinic

***

Entry 6:
# PBE-GGA KInHg2, relaxed
data_KInHg2
_chemical_formula_sum 'K1 In1 Hg2'
_cell_length_a 5.315
_cell_length_b 5.315
_cell_length_c 4.237
_cell_angle_alpha 90.00
_cell_angle_beta 90.00
_cell_angle_gamma 90.00
_space_group_name_H-M_alt 'P 1'
_space_group_IT_number 1
_space_group_name_Hall 'P 1'
loop_
_atom_site_label
_atom_site_fract_x
_atom_site_fract_y
_atom_site_fract_z
_atom_site_occupancy
K1 0.000 0.500 0.500 1
In1 0.500 0.000 0.500 1
Hg1 0.500 0.500 0.000 1
Hg2 0.000 0.000 0.000 1
# * crystal system: tetragonal

***

| no. | formation energy from the elements (eV per atom) | density (g/cm³) |
| --- | --- | --- |
| 1 | -0.10 | 7.61 |
| 2 | -0.02 | 9.18 |
| 3 | -0.22 | 5.55 |
| 4 | -0.14 | 6.89 |
| 5 | -0.23 | 6.70 |
| 6 | -0.11 | 7.70 |